Entry 1:
Below is La6PtAu3 after structural relaxation, with properties calculated at the PBE-GGA level.

* energy of formation: -0.68 eV/atom
* DOS(E_F): 22.02 states/eV/cell
* total magnetization: 0.00 μB/cell

Unit cell a=7.4362 b=7.8728 c=12.7489 alpha=90.00 beta=120.52 gamma=90.00
Last column: nearest neighbours and their distance in Å.
Element x y z (fractional)
La: 0.0858 0.0488 0.2514  1 Pt 2.96, 3 Au 3.10-3.19
La: 0.0858 0.4512 0.7514  1 Pt 2.96, 3 Au 3.10-3.19
La: 0.2319 0.6780 0.0842  1 Pt 2.94, 3 Au 3.04-3.26
La: 0.2319 0.8220 0.5842  1 Pt 2.94, 3 Au 3.04-3.26
La: 0.3841 0.1735 0.0723  1 Pt 2.86, 2 Au 3.00-3.08
La: 0.3841 0.3265 0.5723  1 Pt 2.86, 2 Au 3.00-3.08
La: 0.6159 0.6735 0.4277  1 Pt 2.86, 2 Au 3.00-3.08
La: 0.6159 0.8265 0.9277  1 Pt 2.86, 2 Au 3.00-3.08
La: 0.7681 0.1780 0.4158  1 Pt 2.94, 3 Au 3.04-3.26
La: 0.7681 0.3220 0.9158  1 Pt 2.94, 3 Au 3.04-3.26
La: 0.9142 0.5488 0.2486  1 Pt 2.96, 3 Au 3.10-3.19
La: 0.9142 0.9512 0.7486  1 Pt 2.96, 3 Au 3.10-3.19
Pt: 0.0000 0.0000 0.0000  6 La 2.86-2.96
Pt: 0.0000 0.5000 0.5000  6 La 2.86-2.96
Au: 0.3251 0.1183 0.7732  6 La 3.08-3.26
Au: 0.3251 0.3817 0.2732  6 La 3.08-3.26
Au: 0.5000 0.0000 0.5000  6 La 3.00-3.12
Au: 0.5000 0.5000 0.0000  6 La 3.00-3.12
Au: 0.6749 0.6183 0.7268  6 La 3.08-3.26
Au: 0.6749 0.8817 0.2268  6 La 3.08-3.26

Entry 2:
Below is LaPtAu2 after structural relaxation, with properties calculated at the PBE-GGA level.

* energy of formation: -0.56 eV/atom
* DOS(E_F): 4.56 states/eV/cell
* total magnetization: 0.00 μB/cell

Unit cell a=5.7016 b=6.2230 c=10.0966 alpha=90.00 beta=90.00 gamma=90.00
Last column: nearest neighbours and their distance in Å.
Element x y z (fractional)
La: 0.0000 0.0000 0.0000  4 Pt 2.85-3.11, 4 Au 2.97
La: 0.0000 0.5000 0.5000  4 Pt 2.85-3.11, 4 Au 2.97
La: 0.5000 0.0000 0.5000  4 Pt 2.85-3.11, 4 Au 2.97
La: 0.5000 0.5000 0.0000  4 Pt 2.85-3.11, 4 Au 2.97
Pt: 0.0000 0.0000 0.5000  4 La 2.85-3.11, 4 Au 2.97
Pt: 0.0000 0.5000 0.0000  4 La 2.85-3.11, 4 Au 2.97
Pt: 0.5000 0.0000 0.0000  4 La 2.85-3.11, 4 Au 2.97
Pt: 0.5000 0.5000 0.5000  4 La 2.85-3.11, 4 Au 2.97
Au: 0.0000 0.2500 0.2500  4 Au 2.85-3.11, 2 La 2.97, 2 Pt 2.97
Au: 0.0000 0.2500 0.7500  4 Au 2.85-3.11, 2 La 2.97, 2 Pt 2.97
Au: 0.0000 0.7500 0.2500  4 Au 2.85-3.11, 2 La 2.97, 2 Pt 2.97
Au: 0.0000 0.7500 0.7500  4 Au 2.85-3.11, 2 La 2.97, 2 Pt 2.97
Au: 0.5000 0.2500 0.2500  4 Au 2.85-3.11, 2 La 2.97, 2 Pt 2.97
Au: 0.5000 0.2500 0.7500  4 Au 2.85-3.11, 2 La 2.97, 2 Pt 2.97
Au: 0.5000 0.7500 0.2500  4 Au 2.85-3.11, 2 La 2.97, 2 Pt 2.97
Au: 0.5000 0.7500 0.7500  4 Au 2.85-3.11, 2 La 2.97, 2 Pt 2.97

Entry 3:
Below is LaPtAu2 after structural relaxation, with properties calculated at the PBE-GGA level.

* energy of formation: -0.62 eV/atom
* DOS(E_F): 1.65 states/eV/cell
* total magnetization: 0.00 μB/cell

Unit cell a=4.3602 b=4.8490 c=4.5213 alpha=90.00 beta=102.29 gamma=90.00
Last column: nearest neighbours and their distance in Å.
Element x y z (fractional)
La: 0.0000 0.0000 0.0000  2 Pt 2.79
Pt: 0.5000 0.0000 0.5000  2 La 2.79, 4 Au 2.80
Au: 0.3004 0.5000 0.7066  2 Pt 2.80, 3 Au 2.81-2.88
Au: 0.6996 0.5000 0.2934  2 Pt 2.80, 3 Au 2.81-2.88

Entry 4:
Below is LaPtAu2 after structural relaxation, with properties calculated at the PBE-GGA level.

* energy of formation: -0.69 eV/atom
* DOS(E_F): 3.05 states/eV/cell
* total magnetization: 0.00 μB/cell

Unit cell a=4.2078 b=4.3091 c=9.3207 alpha=90.00 beta=90.00 gamma=90.00
Last column: nearest neighbours and their distance in Å.
Element x y z (fractional)
La: 0.0000 0.0000 0.0000  4 Pt 3.01, 8 Au 3.14-3.17
La: 0.5000 0.5000 0.5000  4 Pt 3.01, 8 Au 3.14-3.17
Pt: 0.0000 0.0000 0.5000  4 La 3.01, 8 Au 3.11-3.20
Pt: 0.5000 0.5000 0.0000  4 La 3.01, 8 Au 3.11-3.20
Au: 0.0000 0.5000 0.2457  4 Au 3.01, 4 Pt 3.11-3.20, 4 La 3.14-3.17
Au: 0.0000 0.5000 0.7543  4 Au 3.01, 4 Pt 3.11-3.20, 4 La 3.14-3.17
Au: 0.5000 0.0000 0.2543  4 Au 3.01, 4 Pt 3.11-3.20, 4 La 3.14-3.17
Au: 0.5000 0.0000 0.7457  4 Au 3.01, 4 Pt 3.11-3.20, 4 La 3.14-3.17

Entry 5:
Below is LaPt2Au after structural relaxation, with properties calculated at the PBE-GGA level.

* energy of formation: -0.51 eV/atom
* DOS(E_F): 5.86 states/eV/cell
* total magnetization: 0.00 μB/cell

Unit cell a=4.3597 b=4.3597 c=18.9709 alpha=90.00 beta=90.00 gamma=90.00
Last column: nearest neighbours and their distance in Å.
Element x y z (fractional)
La: 0.0000 0.0000 0.0000  4 Pt 2.93, 4 Au 3.08
La: 0.0000 0.5000 0.2500  4 Pt 2.93, 4 Au 3.08
La: 0.5000 0.0000 0.7500  4 Pt 2.93, 4 Au 3.08
La: 0.5000 0.5000 0.5000  4 Pt 2.93, 4 Au 3.08
Pt: 0.1947 0.2500 0.6250  2 Au 2.74, 2 Pt 2.76, 2 La 2.93
Pt: 0.2500 0.6947 0.8750  2 Au 2.74, 2 Pt 2.76, 2 La 2.93
Pt: 0.2500 0.8053 0.3750  2 Au 2.74, 2 Pt 2.76, 2 La 2.93
Pt: 0.3053 0.2500 0.1250  2 Au 2.74, 2 Pt 2.76, 2 La 2.93
Pt: 0.6947 0.7500 0.1250  2 Au 2.74, 2 Pt 2.76, 2 La 2.93
Pt: 0.7500 0.1947 0.3750  2 Au 2.74, 2 Pt 2.76, 2 La 2.93
Pt: 0.7500 0.3053 0.8750  2 Au 2.74, 2 Pt 2.76, 2 La 2.93
Pt: 0.8053 0.7500 0.6250  2 Au 2.74, 2 Pt 2.76, 2 La 2.93
Au: 0.0000 0.0000 0.5000  4 Pt 2.74
Au: 0.0000 0.5000 0.7500  4 Pt 2.74
Au: 0.5000 0.0000 0.2500  4 Pt 2.74
Au: 0.5000 0.5000 0.0000  4 Pt 2.74

Entry 6:
Below is LaPtAu2 after structural relaxation, with properties calculated at the PBE-GGA level.

* energy of formation: -0.71 eV/atom
* DOS(E_F): 3.85 states/eV/cell
* total magnetization: 0.00 μB/cell

Unit cell a=8.2013 b=4.7246 c=5.4246 alpha=90.00 beta=120.18 gamma=90.00
Last column: nearest neighbours and their distance in Å.
Element x y z (fractional)
La: 0.0000 0.0000 0.0000  4 Pt 2.99-3.22, 4 Au 3.09-3.17
La: 0.5000 0.5000 0.0000  4 Pt 2.99-3.22, 4 Au 3.09-3.17
Pt: 0.2870 0.5000 0.3621  6 Au 2.74-3.07, 1 La 2.99
Pt: 0.7870 0.0000 0.3621  6 Au 2.74-3.07, 1 La 2.99
Au: 0.2191 0.0000 0.6579  3 Au 2.95-2.96, 3 Pt 3.06-3.07, 4 La 3.09-3.17
Au: 0.4723 0.0000 0.4172  3 Pt 2.74, 3 Au 2.95-2.96
Au: 0.7191 0.5000 0.6579  3 Au 2.95-2.96, 3 Pt 3.06-3.07, 4 La 3.09-3.17
Au: 0.9723 0.5000 0.4172  3 Pt 2.74, 3 Au 2.95-2.96

Entry 7:
Below is LaPtAu after structural relaxation, with properties calculated at the PBE-GGA level.

* energy of formation: -0.88 eV/atom
* DOS(E_F): 4.15 states/eV/cell
* total magnetization: 0.00 μB/cell

Unit cell a=6.7835 b=6.7835 c=6.7835 alpha=90.00 beta=90.00 gamma=90.00
Last column: nearest neighbours and their distance in Å.
Element x y z (fractional)
La: 0.0000 0.0000 0.0000  4 Pt 2.94
La: 0.0000 0.5000 0.5000  4 Pt 2.94
La: 0.5000 0.0000 0.5000  4 Pt 2.94
La: 0.5000 0.5000 0.0000  4 Pt 2.94
Pt: 0.2500 0.2500 0.7500  4 La 2.94, 4 Au 2.94
Pt: 0.2500 0.7500 0.2500  4 La 2.94, 4 Au 2.94
Pt: 0.7500 0.2500 0.2500  4 La 2.94, 4 Au 2.94
Pt: 0.7500 0.7500 0.7500  4 La 2.94, 4 Au 2.94
Au: 0.0000 0.0000 0.5000  4 Pt 2.94
Au: 0.0000 0.5000 0.0000  4 Pt 2.94
Au: 0.5000 0.0000 0.0000  4 Pt 2.94
Au: 0.5000 0.5000 0.5000  4 Pt 2.94

Entry 8:
Below is La2Pt5Au5 after structural relaxation, with properties calculated at the PBE-GGA level.

* energy of formation: -0.61 eV/atom
* DOS(E_F): 6.96 states/eV/cell
* total magnetization: 0.00 μB/cell

Unit cell a=4.5489 b=5.5625 c=9.6044 alpha=90.00 beta=90.00 gamma=90.00
Last column: nearest neighbours and their distance in Å.
Element x y z (fractional)
La: 0.0000 0.0000 0.0000  6 Au 3.18-3.24
La: 0.0000 0.5000 0.5000  6 Au 3.15-3.22
Pt: 0.5000 0.0000 0.5000  4 Pt 2.75, 4 Au 2.79
Pt: 0.5000 0.2499 0.2532  3 Pt 2.75-2.78, 5 Au 2.77-2.80
Pt: 0.5000 0.2499 0.7468  3 Pt 2.75-2.78, 5 Au 2.77-2.80
Pt: 0.5000 0.7501 0.2532  3 Pt 2.75-2.78, 5 Au 2.77-2.80
Pt: 0.5000 0.7501 0.7468  3 Pt 2.75-2.78, 5 Au 2.77-2.80
Au: 0.0000 0.0000 0.3314  6 Pt 2.77-2.79
Au: 0.0000 0.0000 0.6686  6 Pt 2.77-2.79
Au: 0.0000 0.5000 0.1723  4 Pt 2.78, 2 Au 2.81
Au: 0.0000 0.5000 0.8277  4 Pt 2.78, 2 Au 2.81
Au: 0.5000 0.5000 0.0000  4 Pt 2.80, 4 Au 2.81

Entry 9:
Below is LaPtAu after structural relaxation, with properties calculated at the PBE-GGA level.

* energy of formation: -0.96 eV/atom
* DOS(E_F): 6.90 states/eV/cell
* total magnetization: 0.00 μB/cell

Unit cell a=13.4248 b=3.9383 c=7.8603 alpha=90.00 beta=90.00 gamma=90.00
Last column: nearest neighbours and their distance in Å.
Element x y z (fractional)
La: 0.0554 0.0000 0.2430  5 Pt 3.02-3.21, 6 Au 3.26-3.33
La: 0.2500 0.0000 0.8109  5 Pt 2.96-3.02
La: 0.4446 0.0000 0.2430  5 Pt 3.02-3.21, 6 Au 3.26-3.33
La: 0.5554 0.0000 0.7570  5 Pt 3.02-3.21, 6 Au 3.26-3.33
La: 0.7500 0.0000 0.1891  5 Pt 2.96-3.02
La: 0.9446 0.0000 0.7570  5 Pt 3.02-3.21, 6 Au 3.26-3.33
Pt: 0.0935 0.5000 0.9269  1 Pt 2.76, 2 Au 2.85-2.88, 2 La 3.02
Pt: 0.2500 0.0000 0.4345  6 Au 2.85-2.91, 3 La 2.96-3.02
Pt: 0.4065 0.5000 0.9269  1 Pt 2.76, 2 Au 2.85-2.88, 2 La 3.02
Pt: 0.5935 0.5000 0.0731  1 Pt 2.76, 2 Au 2.85-2.88, 2 La 3.02
Pt: 0.7500 0.0000 0.5655  6 Au 2.85-2.91, 3 La 2.96-3.02
Pt: 0.9065 0.5000 0.0731  1 Pt 2.76, 2 Au 2.85-2.88, 2 La 3.02
Au: 0.1083 0.5000 0.5608  3 Pt 2.88-2.91, 1 Au 3.06
Au: 0.2500 0.5000 0.1728  4 Pt 2.85
Au: 0.3917 0.5000 0.5608  3 Pt 2.88-2.91, 1 Au 3.06
Au: 0.6083 0.5000 0.4392  3 Pt 2.88-2.91, 1 Au 3.06
Au: 0.7500 0.5000 0.8272  4 Pt 2.85
Au: 0.8917 0.5000 0.4392  3 Pt 2.88-2.91, 1 Au 3.06

Entry 10:
Below is LaPt6Au6 after structural relaxation, with properties calculated at the PBE-GGA level.

* energy of formation: -0.29 eV/atom
* DOS(E_F): 7.89 states/eV/cell
* total magnetization: 0.00 μB/cell

Unit cell a=7.1648 b=7.1648 c=7.1648 alpha=134.59 beta=99.04 gamma=98.10
Last column: nearest neighbours and their distance in Å.
Element x y z (fractional)
La: 0.0000 0.0000 0.0000  8 Au 3.13-3.31
Pt: 0.0000 0.0000 0.5000  4 Pt 2.73-2.77, 6 Au 2.76-2.85
Pt: 0.0000 0.5000 0.0000  4 Pt 2.73-2.77, 6 Au 2.76-2.85
Pt: 0.2331 0.5000 0.7331  4 Pt 2.73, 6 Au 2.84-2.93
Pt: 0.5000 0.0000 0.0000  4 Pt 2.73-2.77, 6 Au 2.76-2.85
Pt: 0.5000 0.5000 0.5000  4 Pt 2.73-2.77, 6 Au 2.76-2.85
Pt: 0.7669 0.5000 0.2669  4 Pt 2.73, 6 Au 2.84-2.93
Au: 0.1945 0.6945 0.5000  6 Pt 2.76-2.84
Au: 0.3362 0.0000 0.3362  6 Pt 2.84-2.93, 1 Au 3.05, 1 La 3.13
Au: 0.3455 0.3455 0.0000  6 Pt 2.85-2.88, 3 Au 2.90-3.11
Au: 0.6545 0.6545 0.0000  6 Pt 2.85-2.88, 3 Au 2.90-3.11
Au: 0.6638 0.0000 0.6638  6 Pt 2.84-2.93, 1 Au 3.05, 1 La 3.13
Au: 0.8055 0.3055 0.5000  6 Pt 2.76-2.84

Entry 11:
Below is La2PtRhAu after structural relaxation, with properties calculated at the PBE-GGA level.

* energy of formation: -0.82 eV/atom
* DOS(E_F): 6.56 states/eV/cell
* total magnetization: 0.00 μB/cell

Unit cell a=7.8431 b=4.4349 c=7.8543 alpha=90.00 beta=117.09 gamma=90.00
Last column: nearest neighbours and their distance in Å.
Element x y z (fractional)
La: 0.0991 0.2500 0.3558  1 Rh 2.65
La: 0.3570 0.7500 0.1016  1 Rh 2.64
La: 0.6430 0.2500 0.8984  1 Rh 2.64
La: 0.9009 0.7500 0.6442  1 Rh 2.65
Pt: 0.0665 0.2500 0.9343  1 Rh 2.66, 2 Pt 2.84
Pt: 0.9335 0.7500 0.0657  1 Rh 2.66, 2 Pt 2.84
Rh: 0.2650 0.2500 0.7350  2 La 2.64-2.65, 1 Pt 2.66
Rh: 0.7350 0.7500 0.2650  2 La 2.64-2.65, 1 Pt 2.66
Au: 0.4194 0.7500 0.5781  2 Rh 3.04, 2 Au 3.07, 4 La 3.21
Au: 0.5806 0.2500 0.4219  2 Rh 3.04, 2 Au 3.07, 4 La 3.21

Entry 12:
Below is LaPtAu2S after structural relaxation, with properties calculated at the PBE-GGA level.

* ΔE_f (raw): -4.88 kcal/mol of atoms
* DOS(E_F): 2.05 states/eV/cell
* total magnetization: 0.00 μB/cell

Unit cell a=4.6647 b=4.6647 c=5.5648 alpha=90.00 beta=90.00 gamma=90.00
Last column: nearest neighbours and their distance in Å.
Element x y z (fractional)
La: 0.0000 0.0000 0.0000  2 S 2.78
Pt: 0.5000 0.5000 0.0000  4 La 3.30, 8 Au 3.63
Au: 0.0000 0.5000 0.5000  2 S 2.33
Au: 0.5000 0.0000 0.5000  2 S 2.33
S: 0.0000 0.0000 0.5000  4 Au 2.33

- DOS(E_F) of number 11 (La2PtRhAu)?
  6.56 states/eV/cell